1.
A PBEsol-optimized structure of CrCoTcC2. Source: Alexandria via LeMat-Bulk, functional SCAN.

a b c (Å): 3.525 3.525 4.761
angles (deg): 90.00 90.00 90.00
Last column: magnetic moment on the atom in μB.
Atoms (fractional coordinates):
C  0.000  0.500  0.000  0.03
C  0.500  0.000  0.000  0.03
Cr  0.000  0.000  0.500  3.04
Tc  0.500  0.500  0.500  -2.28
Co  0.000  0.000  0.000  0.02

Output
E_form (eV per atom): 1.730
Space-group type: P4/mmm
Crystal system: tetragonal



2.
A PBEsol-optimized structure of CsCo2TcC. Source: Alexandria via LeMat-Bulk, functional SCAN.

a b c (Å): 3.988 4.740 4.740
angles (deg): 90.00 90.00 90.00
Last column: magnetic moment on the atom in μB.
Atoms (fractional coordinates):
C  0.500  0.000  0.000  0.08
Tc  0.000  0.000  0.000  -0.23
Co  0.000  0.500  0.000  1.94
Co  0.000  0.000  0.500  1.94
Cs  0.500  0.500  0.500  0.02

Output
E_form (eV per atom): 1.425
Space-group type: P4/mmm
Crystal system: tetragonal



3.
A PBEsol-optimized structure of RbCoCuC2. Source: Alexandria via LeMat-Bulk, functional SCAN.

a b c (Å): 3.864 3.864 4.729
angles (deg): 90.00 90.00 90.00
Last column: magnetic moment on the atom in μB.
Atoms (fractional coordinates):
Co  0.000  0.000  0.500  1.91
Cu  0.000  0.000  0.000  -0.09
C  0.500  0.000  0.000  -0.22
C  0.000  0.500  0.000  -0.22
Rb  0.500  0.500  0.500  -0.03

Output
E_form (eV per atom): 2.203
Space-group type: P4/mmm
Crystal system: tetragonal



4.
A PBEsol-optimized structure of ErCoC. Source: Alexandria via LeMat-Bulk, functional SCAN.

a b c (Å): 3.568 3.568 6.687
angles (deg): 90.00 90.00 90.00
Last column: magnetic moment on the atom in μB.
Atoms (fractional coordinates):
Co  0.500  0.500  0.000  1.09
Co  0.500  0.500  0.500  1.09
Er  0.000  0.000  0.250  -0.09
Er  0.000  0.000  0.750  -0.09
C  0.000  0.500  0.000  0.00
C  0.500  0.000  0.500  0.00

Output
E_form (eV per atom): -0.371
Space-group type: P4_2/mmc
Crystal system: tetragonal



5.
A PBEsol-optimized structure of Sr2CoCO3F5. Source: Alexandria via LeMat-Bulk, functional SCAN.

a b c (Å): 5.448 8.672 13.016
angles (deg): 90.00 98.12 90.00
Last column: magnetic moment on the atom in μB.
Atoms (fractional coordinates):
F  0.326  0.992  0.415  0.00
F  0.411  0.370  0.934  0.00
F  0.949  0.969  0.273  0.00
F  0.449  0.531  0.773  0.00
F  0.798  0.214  0.912  0.00
F  0.674  0.008  0.585  0.00
F  0.929  0.278  0.264  0.00
F  0.429  0.222  0.764  0.00
F  0.571  0.778  0.236  0.00
F  0.051  0.031  0.727  0.00
F  0.702  0.714  0.588  0.00
F  0.589  0.630  0.066  0.00
F  0.298  0.286  0.412  0.00
F  0.911  0.130  0.434  0.00
F  0.089  0.870  0.566  0.00
F  0.174  0.492  0.085  0.00
F  0.826  0.508  0.915  0.00
F  0.551  0.469  0.227  0.00
F  0.071  0.722  0.736  0.00
F  0.202  0.786  0.088  0.00
O  0.139  0.631  0.258  0.02
O  0.861  0.369  0.742  0.02
O  0.506  0.880  0.910  0.01
O  0.414  0.625  0.407  0.01
O  0.494  0.120  0.090  0.01
O  0.639  0.869  0.758  0.02
O  0.086  0.125  0.093  0.01
O  0.994  0.380  0.590  0.01
O  0.586  0.375  0.593  0.01
O  0.914  0.875  0.907  0.01
O  0.006  0.620  0.410  0.01
O  0.361  0.131  0.242  0.02
C  0.308  0.125  0.142  0.00
C  0.192  0.625  0.358  0.00
C  0.692  0.875  0.858  0.00
C  0.808  0.375  0.642  0.00
Sr  0.712  0.391  0.402  0.00
Sr  0.288  0.609  0.598  0.00
Sr  0.722  0.861  0.413  0.00
Sr  0.778  0.361  0.087  0.00
Sr  0.212  0.109  0.902  0.00
Sr  0.222  0.639  0.913  0.00
Sr  0.278  0.139  0.587  0.00
Sr  0.788  0.891  0.098  0.00
Co  0.869  0.869  0.667  0.07
Co  0.131  0.131  0.333  0.07
Co  0.369  0.631  0.167  0.07
Co  0.631  0.369  0.833  0.07

Output
Space-group type: P2_1/c
Energy relative to the elements, uncorrected (meV per atom): -2890
Crystal system: monoclinic



6.
A PBEsol-optimized structure of FeCoC3. Source: Alexandria via LeMat-Bulk, functional SCAN.

a b c (Å): 3.623 3.623 3.623
angles (deg): 90.00 90.00 90.00
Last column: magnetic moment on the atom in μB.
Atoms (fractional coordinates):
C  0.000  0.000  0.500  -0.15
C  0.500  0.000  0.000  -0.15
C  0.000  0.500  0.000  -0.15
Fe  0.000  0.000  0.000  -1.08
Co  0.500  0.500  0.500  1.87

Output
E_form (eV per atom): 2.189
Space-group type: Pm-3m
Crystal system: cubic



7.
A PBEsol-optimized structure of Sm2Ga2Fe12Co3C. Source: Alexandria via LeMat-Bulk, functional SCAN.

a b c (Å): 6.359 6.377 6.377
angles (deg): 97.26 97.16 82.84
Last column: magnetic moment on the atom in μB.
Atoms (fractional coordinates):
Ga  0.898  0.896  0.104  -0.10
Ga  0.102  0.104  0.896  -0.10
Co  0.500  0.000  0.000  1.55
Co  0.000  0.500  0.000  1.61
Co  0.000  0.000  0.500  1.61
Sm  0.641  0.656  0.344  -0.34
Sm  0.359  0.344  0.656  -0.34
Fe  0.000  0.715  0.715  2.04
Fe  0.342  0.846  0.661  2.70
Fe  0.292  0.001  0.294  2.75
Fe  0.000  0.285  0.285  2.04
Fe  0.849  0.345  0.655  2.35
Fe  0.708  0.294  0.001  2.75
Fe  0.708  0.999  0.706  2.75
Fe  0.151  0.655  0.345  2.35
Fe  0.342  0.339  0.154  2.70
Fe  0.658  0.661  0.846  2.70
Fe  0.658  0.154  0.339  2.70
Fe  0.292  0.706  0.999  2.75
C  0.000  0.500  0.500  -0.17

Output
E_form (eV per atom): -0.087
Space-group type: C2/m
Crystal system: monoclinic



8.
A PBEsol-optimized structure of Sm4Fe27Co7C2. Source: Alexandria via LeMat-Bulk, functional SCAN.

a b c (Å): 6.343 6.343 12.599
angles (deg): 83.68 83.68 83.53
Last column: magnetic moment on the atom in μB.
Atoms (fractional coordinates):
Fe  0.658  0.658  0.075  2.33
Fe  0.096  0.096  0.048  2.83
Fe  0.005  0.717  0.640  2.70
Fe  0.852  0.341  0.171  2.76
Fe  0.147  0.658  0.828  2.76
Fe  0.658  0.147  0.329  2.77
Fe  0.004  0.716  0.141  2.72
Fe  0.341  0.852  0.171  2.76
Fe  0.341  0.341  0.925  2.32
Fe  0.660  0.660  0.575  2.35
Fe  0.287  0.713  0.500  1.94
Fe  0.995  0.283  0.860  2.71
Fe  0.713  0.286  0.000  2.05
Fe  0.339  0.339  0.427  2.35
Fe  0.716  0.004  0.141  2.72
Fe  0.283  0.995  0.860  2.71
Fe  0.855  0.341  0.670  2.77
Fe  0.286  0.713  0.000  2.05
Fe  0.283  0.996  0.360  2.71
Fe  0.341  0.855  0.670  2.77
Fe  0.147  0.658  0.329  2.77
Fe  0.907  0.907  0.454  2.88
Fe  0.996  0.283  0.360  2.71
Fe  0.717  0.005  0.640  2.70
Fe  0.713  0.287  0.500  1.94
Fe  0.658  0.147  0.828  2.76
Fe  0.903  0.903  0.952  2.83
Co  0.000  0.500  0.000  1.69
Co  0.500  0.000  0.500  1.68
Co  0.001  0.001  0.749  1.56
Co  0.000  0.500  0.500  1.68
Co  0.999  0.999  0.250  1.57
Co  0.097  0.097  0.548  1.74
Co  0.500  0.000  0.000  1.69
C  0.500  0.500  0.500  -0.19
C  0.500  0.500  0.000  -0.19
Sm  0.338  0.338  0.178  -0.38
Sm  0.339  0.339  0.678  -0.37
Sm  0.661  0.661  0.821  -0.38
Sm  0.661  0.661  0.322  -0.38

Output
E_form (eV per atom): -0.041
Space-group type: Cm
Crystal system: monoclinic



9.
A PBEsol-optimized structure of RbCo2GeC. Source: Alexandria via LeMat-Bulk, functional SCAN.

a b c (Å): 4.148 4.600 4.600
angles (deg): 90.00 90.00 90.00
Last column: magnetic moment on the atom in μB.
Atoms (fractional coordinates):
C  0.500  0.000  0.000  -0.10
Ge  0.000  0.000  0.000  -0.03
Co  0.000  0.500  0.000  1.74
Co  0.000  0.000  0.500  1.74
Rb  0.500  0.500  0.500  -0.01

Output
E_form (eV per atom): 1.462
Space-group type: P4/mmm
Crystal system: tetragonal



10.
A PBEsol-optimized structure of K2CoH8C2O10. Source: Alexandria via LeMat-Bulk, functional SCAN.

a b c (Å): 6.193 6.838 11.094
angles (deg): 81.01 90.00 90.00
Last column: magnetic moment on the atom in μB.
Atoms (fractional coordinates):
C  0.152  0.425  0.815  0.00
C  0.848  0.575  0.185  0.00
C  0.348  0.925  0.315  0.00
C  0.652  0.075  0.685  0.00
K  0.150  0.910  0.818  0.00
K  0.850  0.090  0.182  0.00
K  0.650  0.590  0.682  0.00
K  0.350  0.410  0.318  0.00
Co  0.500  0.500  0.000  2.69
Co  0.000  0.000  0.500  2.69
O  0.939  0.530  0.291  0.01
O  0.276  0.298  0.090  0.04
O  0.439  0.970  0.209  0.01
O  0.920  0.725  0.109  0.00
O  0.810  0.969  0.657  0.04
O  0.776  0.202  0.410  0.04
O  0.330  0.730  0.056  0.04
O  0.061  0.470  0.709  0.01
O  0.310  0.531  0.843  0.04
O  0.224  0.798  0.590  0.04
O  0.670  0.270  0.944  0.04
O  0.580  0.225  0.609  0.00
O  0.561  0.030  0.791  0.01
O  0.724  0.702  0.910  0.04
O  0.190  0.031  0.343  0.04
O  0.830  0.770  0.444  0.04
O  0.170  0.230  0.556  0.04
O  0.690  0.469  0.157  0.04
O  0.420  0.775  0.391  0.00
O  0.080  0.275  0.891  0.00
H  0.659  0.833  0.870  0.00
H  0.841  0.333  0.370  0.00
H  0.341  0.167  0.130  0.00
H  0.672  0.784  0.419  0.00
H  0.159  0.667  0.630  0.00
H  0.895  0.684  0.388  0.00
H  0.195  0.276  0.012  0.00
H  0.328  0.216  0.581  0.00
H  0.305  0.776  0.512  0.00
H  0.805  0.724  0.988  0.00
H  0.695  0.224  0.488  0.00
H  0.395  0.816  0.112  0.00
H  0.172  0.716  0.081  0.00
H  0.828  0.284  0.919  0.00
H  0.605  0.184  0.888  0.00
H  0.105  0.316  0.612  0.00

Output
Space-group type: P2_1/c
Crystal system: monoclinic



11.
A PBEsol-optimized structure of Li2CoH8C2O10. Source: Alexandria via LeMat-Bulk, functional SCAN.

a b c (Å): 5.714 5.864 11.473
angles (deg): 81.04 90.00 90.00
Last column: magnetic moment on the atom in μB.
Atoms (fractional coordinates):
O  0.708  0.441  0.651  0.04
O  0.901  0.780  0.623  0.00
O  0.230  0.307  0.582  0.04
O  0.099  0.220  0.377  0.00
O  0.323  0.796  0.533  0.04
O  0.730  0.193  0.918  0.04
O  0.041  0.477  0.213  0.00
O  0.459  0.977  0.713  0.00
O  0.959  0.523  0.787  0.00
O  0.792  0.941  0.151  0.04
O  0.599  0.280  0.123  0.00
O  0.823  0.704  0.967  0.04
O  0.770  0.693  0.418  0.04
O  0.292  0.559  0.349  0.04
O  0.177  0.296  0.033  0.04
O  0.208  0.059  0.849  0.04
O  0.677  0.204  0.467  0.04
O  0.270  0.807  0.082  0.04
O  0.401  0.720  0.877  0.00
O  0.541  0.023  0.287  0.00
Li  0.248  0.904  0.355  0.00
Li  0.752  0.096  0.645  0.00
Li  0.748  0.596  0.145  0.00
Li  0.252  0.404  0.855  0.00
H  0.339  0.267  0.067  0.00
H  0.195  0.678  0.138  0.00
H  0.403  0.860  0.599  0.00
H  0.661  0.733  0.933  0.00
H  0.805  0.322  0.862  0.00
H  0.305  0.178  0.638  0.00
H  0.823  0.755  0.491  0.00
H  0.323  0.745  0.009  0.00
H  0.097  0.360  0.099  0.00
H  0.677  0.255  0.991  0.00
H  0.903  0.640  0.901  0.00
H  0.597  0.140  0.401  0.00
H  0.161  0.767  0.567  0.00
H  0.177  0.245  0.509  0.00
H  0.695  0.822  0.362  0.00
H  0.839  0.233  0.433  0.00
Co  0.500  0.500  0.500  2.68
Co  0.000  0.000  0.000  2.68
C  0.855  0.581  0.686  0.00
C  0.645  0.081  0.186  0.00
C  0.355  0.919  0.814  0.00
C  0.145  0.419  0.314  0.00

Output
Space-group type: P2_1/c
Energy above the most stable polymorph in this dataset (eV/f.u.): 0.63
Crystal system: monoclinic



12.
A PBEsol-optimized structure of Li2CoH8C2O10. Source: Alexandria via LeMat-Bulk, functional SCAN.

a b c (Å): 5.349 5.349 13.974
angles (deg): 80.07 80.07 76.36
Last column: magnetic moment on the atom in μB.
Atoms (fractional coordinates):
O  0.533  0.053  0.794  0.04
O  0.947  0.467  0.706  0.04
O  0.362  0.588  0.589  0.00
O  0.246  0.147  0.999  0.00
O  0.730  0.069  0.641  0.06
O  0.988  0.682  0.827  0.04
O  0.053  0.533  0.294  0.04
O  0.012  0.318  0.173  0.04
O  0.412  0.638  0.911  0.00
O  0.588  0.362  0.089  0.00
O  0.853  0.754  0.501  0.00
O  0.682  0.988  0.327  0.04
O  0.147  0.246  0.499  0.00
O  0.270  0.931  0.359  0.06
O  0.931  0.270  0.859  0.06
O  0.318  0.012  0.673  0.04
O  0.467  0.947  0.206  0.04
O  0.069  0.730  0.141  0.06
O  0.638  0.412  0.411  0.00
O  0.754  0.853  0.001  0.00
H  0.533  0.209  0.133  0.00
H  0.848  0.771  0.943  0.00
H  0.747  0.372  0.114  0.00
H  0.188  0.125  0.449  0.00
H  0.628  0.253  0.386  0.00
H  0.875  0.812  0.051  0.00
H  0.467  0.791  0.867  0.00
H  0.372  0.747  0.614  0.00
H  0.812  0.875  0.551  0.00
H  0.791  0.467  0.367  0.00
H  0.229  0.152  0.557  0.00
H  0.771  0.848  0.443  0.00
H  0.125  0.188  0.949  0.00
H  0.152  0.229  0.057  0.00
H  0.253  0.628  0.886  0.00
H  0.209  0.533  0.633  0.00
C  0.521  0.046  0.703  0.00
C  0.479  0.954  0.297  0.00
C  0.954  0.479  0.797  0.00
C  0.046  0.521  0.203  0.00
Li  0.253  0.592  0.457  0.00
Li  0.747  0.408  0.543  0.00
Li  0.408  0.747  0.043  0.00
Li  0.592  0.253  0.957  0.00
Co  0.048  0.952  0.250  2.65
Co  0.952  0.048  0.750  2.65

Output
Space-group type: C2/c
Energy above the most stable polymorph in this dataset (eV/f.u.): 0.00
Crystal system: monoclinic



Number 1: N(E_F) 0.57 states/eV per atom, raw total energy -16.4601 eV/atom. Number 2: N(E_F) 0.62 states/eV per atom, raw total energy -22.0909 eV/atom. Number 3: N(E_F) 0.29 states/eV per atom, raw total energy -12.4851 eV/atom. Number 4: N(E_F) 0.44 states/eV per atom, raw total energy -26.2860 eV/atom. Number 5: N(E_F) 0.00 states/eV per atom, raw total energy -11.9192 eV/atom. Number 6: N(E_F) 0.90 states/eV per atom, raw total energy -10.9574 eV/atom. Number 7: N(E_F) 0.64 states/eV per atom, raw total energy -20.1438 eV/atom. Number 8: N(E_F) 0.71 states/eV per atom, raw total energy -20.2563 eV/atom. Number 9: N(E_F) 0.62 states/eV per atom, raw total energy -15.4454 eV/atom. Number 10: N(E_F) 0.00 states/eV per atom, raw total energy -7.6463 eV/atom. Number 11: N(E_F) 0.00 states/eV per atom, raw total energy -7.1034 eV/atom. Number 12: N(E_F) 0.00 states/eV per atom, raw total energy -7.1309 eV/atom.